VASP calculation (PBE) on Li2Ce2NdSi2 after structural relaxation.

Calculated values
- density of states at the Fermi level (states/eV per atom) = 1.44
- VASP energy (eV/atom) = -4.8648
- formation energy from raw total energies (eV/atom) = -0.39

Cell lengths 4.3994, 4.3994, 9.1969 Å; angles 76.16, 76.16, 60.00 degrees
Last column: nearest neighbours and their distance in Å.
Sites, in units of the cell vectors:
Ce1 0.1415 0.1415 0.5754  3 Ce 2.87, 3 Li 3.09, 4 Si 3.14-3.17
Ce2 0.8585 0.8585 0.4246  3 Ce 2.87, 3 Li 3.09, 4 Si 3.14-3.17
Nd1 0.0000 0.0000 0.0000  6 Si 3.18, 6 Li 3.23
Si1 0.2612 0.2612 0.2164  3 Li 2.54
Si2 0.7388 0.7388 0.7836  3 Li 2.54
Li1 0.5914 0.5914 0.2258  3 Si 2.54
Li2 0.4086 0.4086 0.7742  3 Si 2.54